Computed, not measured: an optimized crystal structure of Cs2MnCO at the PBE+U level of DFT.

It has space group P4/mmm (No. 123), with a = 6.440 Å, b = 6.440 Å, c = 3.875 Å, α = 90.00°, β = 90.00° and γ = 90.00°. The inequivalent atoms are Cs at (0.000, 0.500, 0.000), Mn at (0.000, 0.000, 0.000), C at (0.000, 0.000, 0.500) and O at (0.500, 0.500, 0.500).

The density of states at the Fermi level comes out at 11.56 states/eV/f.u. The value obtained for the total magnetic moment is 3.4 Bohr magnetons per cell. For the total energy, the calculation gives -19.59 eV per cell.